(1)
ZrIn3Br8 after structural relaxation. Source: Alexandria via LeMat-Bulk, functional PBE.

Lattice parameters (Å, degrees): 8.9720 8.9720 13.0760 90.00 90.00 120.00
Space group P6_3mc (No. 186)
Unique sites:
Zr  0.3333  0.6667  0.0000 x2
In  0.1646  0.3293  0.4973 x6
Br  0.0000  0.0000  0.3688 x2
Br  0.0520  0.5260  0.8837 x6
Br  0.1926  0.3851  0.1164 x6
Br  0.3333  0.6667  0.6114 x2

Calculated values
For the density, the calculation gives 3.92 g cm⁻³. The calculation puts the total magnetization at 0.0 μB per cell. Its crystal system is hexagonal.

(2)
Nd3Cu11 after structural relaxation. Source: Alexandria via LeMat-Bulk, functional PBE.

Lattice parameters (Å, degrees): 4.229 8.887 12.441 90.00 90.00 90.00
Space group Immm (No. 71)
Unique sites:
Nd  0.000  0.000  0.000 x2
Nd  0.000  0.000  0.306 x4
Cu  0.000  0.210  0.500 x4
Cu  0.000  0.281  0.120 x8
Cu  0.000  0.353  0.326 x8
Cu  0.000  0.500  0.000 x2

Calculated values
For the density, the calculation gives 8.04 g cm⁻³. The energy of formation from the pure elements is -0.1600 eV per atom. The calculation puts the total magnetization at 0.0 μB per cell. Its crystal system is orthorhombic.

(3)
Ti3MnRu2 after structural relaxation. Source: Alexandria via LeMat-Bulk, functional PBE.

Lattice parameters (Å, degrees): 3.049 3.049 9.139 90.00 90.00 90.00
Space group P4/mmm (No. 123)
Unique sites:
Ti  0.000  0.000  0.000 x1
Ti  0.000  0.000  0.341 x2
Mn  0.500  0.500  0.500 x1
Ru  0.500  0.500  0.168 x2

Calculated values
For the density, the calculation gives 7.83 g cm⁻³. The energy of formation from the pure elements is -0.6064 eV per atom. The calculation puts the total magnetization at 0.2 μB per cell. Its crystal system is tetragonal.

(4)
Sr2TaSb after structural relaxation. Source: Alexandria via LeMat-Bulk, functional PBE.

Lattice parameters (Å, degrees): 4.821 4.821 10.301 90.00 90.00 90.00
Space group I-4m2 (No. 119)
Unique sites:
Sr  0.000  0.000  0.000 x2
Sr  0.000  0.500  0.250 x2
Ta  0.000  0.500  0.750 x2
Sb  0.000  0.000  0.500 x2

Calculated values
For the density, the calculation gives 6.63 g cm⁻³. The calculation puts the total magnetization at 4.2 μB per cell. Its crystal system is tetragonal.

(5)
Nb2MoPd after structural relaxation. Source: Alexandria via LeMat-Bulk, functional PBE.

Lattice parameters (Å, degrees): 7.226 7.226 5.537 90.00 90.00 90.00
Space group I-42d (No. 122)
Unique sites:
Nb  0.249  0.250  0.125 x8
Mo  0.000  0.000  0.000 x4
Pd  0.000  0.000  0.500 x4

Calculated values
For the density, the calculation gives 8.92 g cm⁻³. The energy of formation from the pure elements is 0.4444 eV per atom. The calculation puts the total magnetization at 0.0 μB per cell. Its crystal system is tetragonal.

(6)
Ti4SnSb after structural relaxation. Source: Alexandria via LeMat-Bulk, functional PBE.

Lattice parameters (Å, degrees): 8.031 18.953 2.938 90.00 90.00 90.00
Space group Pbam (No. 55)
Unique sites:
Ti  0.050  0.187  0.000 x4
Ti  0.057  0.436  0.000 x4
Ti  0.209  0.055  0.000 x4
Ti  0.212  0.308  0.000 x4
Sn  0.120  0.685  0.500 x4
Sb  0.125  0.923  0.500 x4

Calculated values
For the density, the calculation gives 6.42 g cm⁻³. The calculation puts the total magnetization at 0.0 μB per cell. Its crystal system is orthorhombic.

Respective VASP energy values: -3.441, -4.400, -9.174, -4.383, -8.596, -6.675 eV per atom.
Respective N(E_F) values: 0.59, 0.42, 0.48, 0.91, 1.05, 1.11 states/eV per atom.